Material: CrCo2HAu
Method: DFT, PBE-GGA
State: relaxed

The calculation puts the offset from the most stable computed form at 1692 meV per atom.

It has space group P4/mmm (No. 123), with a = 4.7464 Å, b = 4.7464 Å, c = 5.0932 Å, α = 90.00°, β = 90.00° and γ = 90.00°. The inequivalent atoms are Cr at (0.0000, 0.0000, 0.0000), Co at (0.0000, 0.5000, 0.5000), H at (0.5000, 0.5000, 0.0000) and Au at (0.0000, 0.0000, 0.5000).